Material: MnAlCoO
Method: DFT, GGA+U
State: relaxed

a b c (Å): 2.800 2.800 12.200
angles (deg): 90.00 90.00 90.00
Space group I4mm (No. 107)
Asymmetric unit:
Mn1 0.000 0.000 0.000 x2
Al1 0.000 0.000 0.253 x2
Co1 0.000 0.000 0.631 x2
O1 0.000 0.000 0.819 x2

## Properties
**N(E_F)**: 2.19 states/eV/cell
**Density**: 5.45 g/cm³
**Total magnetic moment**: 5.1 μB per formula unit
**Energy above the lowest structure with this stoichiometry**: 224 meV/atom
**VASP energy**: -5.85 eV per atom